No. 1
Entry from the Alexandria database: a geometry-optimized Mn3Si structure (PBE).

Geometry as POSCAR:
```
Mn3Si
1.0
-1.460 -2.864 -2.368
1.345 -0.376 -3.741
2.281 -3.122 -0.997
Mn Si
3 1
direct
0.750 0.750 0.750 Mn
0.500 0.500 0.500 Mn
0.000 0.000 0.000 Mn
0.250 0.250 0.250 Si
```

Raw formation energy ... -0.313 eV per atom
Density of states at the Fermi level ... 0.894 states/eV per atom
SG ... Fm-3m
Calculated volume ... 45 Å³ per cell

No. 2
Entry from the Alexandria database: a geometry-optimized Ho3GaCo structure (PBE).

Geometry as POSCAR:
```
Ho3GaCo
1.0
-0.008 -5.273 2.502
3.426 -3.985 -2.538
7.023 -1.270 4.461
Ho Ga Co
6 2 2
direct
0.688 0.688 0.138 Ho
0.700 0.700 0.669 Ho
0.312 0.312 0.862 Ho
0.300 0.300 0.331 Ho
0.013 0.013 0.773 Ho
0.987 0.987 0.227 Ho
0.707 0.293 0.500 Ga
0.293 0.707 0.500 Ga
0.687 0.313 0.000 Co
0.313 0.687 0.000 Co
```

Energy above the lowest structure with this stoichiometry ... 0.000 eV per formula unit
Energy of formation from the pure elements ... -334.3 meV/atom
Density of states at the Fermi level ... 0.708 states/eV per atom
SG ... C2/m
Calculated volume ... 234 Å³ per cell

No. 3
Entry from the Alexandria database: a geometry-optimized PmScBr structure (PBE).

Geometry as POSCAR:
```
PmScBr
1.0
3.751 0.000 0.000
0.000 5.005 0.000
0.000 -2.503 4.335
Br Sc Pm
1 1 1
direct
0.110 0.000 0.000 Br
0.183 0.333 0.667 Sc
0.707 0.667 0.333 Pm
```

Raw formation energy ... -0.263 eV per atom
Density of states at the Fermi level ... 0.855 states/eV per atom
SG ... P3m1
Calculated volume ... 81 Å³ per cell

No. 4
Entry from the Alexandria database: a geometry-optimized ErInSnHg structure (PBE).

Geometry as POSCAR:
```
ErInSnHg
1.0
-2.111 1.431 4.634
2.442 -1.259 4.520
2.303 3.775 2.902
Er In Hg Sn
1 1 1 1
direct
0.750 0.750 0.750 Er
0.250 0.250 0.250 In
0.500 0.500 0.500 Hg
0.000 0.000 0.000 Sn
```

Energy above the lowest structure with this stoichiometry ... 0.749 eV per formula unit
Energy of formation from the pure elements ... -215.8 meV/atom
Density of states at the Fermi level ... 0.598 states/eV per atom
SG ... F-43m
Calculated volume ... 105 Å³ per cell